No. 1
Below is a relaxed structure of AcTb3Pm2Se6, with properties calculated at the GGA-PBE level.

Properties
* uncorrected formation energy: -1.8001 eV/atom

a b c (Å): 7.2170 7.2170 7.3597
angles (deg): 99.42 99.42 120.27
Last column: nearest neighbours and their distance in Å.
Sites, in units of the cell vectors:
Ac1 0.0000 0.0000 0.0000  6 Se 3.07-3.09
Tb1 0.1631 0.8369 0.5000  6 Se 2.88-2.93
Tb2 0.5000 0.5000 0.5000  6 Se 2.86-2.92
Tb3 0.8369 0.1631 0.5000  6 Se 2.88-2.93
Pm1 0.3322 0.6678 0.0000  6 Se 3.00-3.01
Pm2 0.6678 0.3322 0.0000  6 Se 3.00-3.01
Se1 0.0894 0.4314 0.2669  3 Tb 2.88-2.93, 2 Pm 3.00-3.01, 1 Ac 3.09
Se2 0.2553 0.2553 0.7378  3 Tb 2.86-2.91, 2 Pm 3.00, 1 Ac 3.07
Se3 0.4314 0.0894 0.2669  3 Tb 2.88-2.93, 2 Pm 3.00-3.01, 1 Ac 3.09
Se4 0.5686 0.9106 0.7331  3 Tb 2.88-2.93, 2 Pm 3.00-3.01, 1 Ac 3.09
Se5 0.7447 0.7447 0.2622  3 Tb 2.86-2.91, 2 Pm 3.00, 1 Ac 3.07
Se6 0.9106 0.5686 0.7331  3 Tb 2.88-2.93, 2 Pm 3.00-3.01, 1 Ac 3.09

---

No. 2
Below is a relaxed structure of K2SnSb3Pt4, with properties calculated at the GGA-PBE level.

Properties
* uncorrected formation energy: -0.4892 eV/atom

a b c (Å): 4.7524 4.7524 10.6812
angles (deg): 90.00 90.00 90.00
Last column: nearest neighbours and their distance in Å.
Sites, in units of the cell vectors:
K1 0.0000 0.5000 0.2457  8 Pt 3.54-3.64, 2 Sn 3.61, 7 Sb 3.61-3.93
K2 0.5000 0.0000 0.7543  8 Pt 3.54-3.64, 2 Sn 3.61, 7 Sb 3.61-3.93
Sn1 0.0000 0.0000 0.5000  4 Pt 2.72
Sb1 0.0000 0.5000 0.8780  5 Pt 2.71
Sb2 0.5000 0.0000 0.1220  5 Pt 2.71
Sb3 0.5000 0.5000 0.5000  4 Pt 2.72
Pt1 0.0000 0.0000 0.0000  4 Sb 2.71
Pt2 0.0000 0.5000 0.6240  3 Sb 2.71-2.72, 2 Sn 2.72
Pt3 0.5000 0.0000 0.3760  3 Sb 2.71-2.72, 2 Sn 2.72
Pt4 0.5000 0.5000 0.0000  4 Sb 2.71

---

No. 3
Below is a relaxed structure of Cs4Rb2InSn2, with properties calculated at the GGA-PBE level.

Properties
* ΔE_f: -73 meV per atom

a b c (Å): 9.5207 9.5207 7.1910
angles (deg): 107.09 107.09 56.26
Last column: nearest neighbours and their distance in Å.
Sites, in units of the cell vectors:
Cs1 0.0985 0.6375 0.7865  3 Sn 4.06-4.19, 1 In 4.06, 2 Cs 4.14-4.47, 3 Rb 4.17-4.50
Cs2 0.3625 0.9015 0.2135  3 Sn 4.06-4.19, 1 In 4.06, 2 Cs 4.14-4.47, 3 Rb 4.17-4.50
Cs3 0.6375 0.0985 0.7865  3 Sn 4.06-4.19, 1 In 4.06, 2 Cs 4.14-4.47, 3 Rb 4.17-4.50
Cs4 0.9015 0.3625 0.2135  3 Sn 4.06-4.19, 1 In 4.06, 2 Cs 4.14-4.47, 3 Rb 4.17-4.50
Rb1 0.3615 0.3615 0.2541  1 Sn 4.02, 6 Cs 4.17-4.50
Rb2 0.6385 0.6385 0.7459  1 Sn 4.02, 6 Cs 4.17-4.50
In1 0.0000 0.0000 0.5000  2 Sn 2.78
Sn1 0.1682 0.1682 0.7415  1 In 2.78
Sn2 0.8318 0.8318 0.2585  1 In 2.78

---

No. 4
Below is a relaxed structure of Cs2CaI3Br, with properties calculated at the GGA-PBE level.

Properties
* uncorrected formation energy: -1.6811 eV/atom

a b c (Å): 10.6571 10.6571 10.6571
angles (deg): 148.65 146.30 46.69
Last column: nearest neighbours and their distance in Å.
Sites, in units of the cell vectors:
Cs1 0.1412 0.1412 0.0000  7 I 3.87-4.24, 2 Br 4.14
Cs2 0.8588 0.8588 0.0000  7 I 3.87-4.24, 2 Br 4.14
Ca1 0.5000 0.5000 0.0000  2 Br 2.88, 4 I 3.09-3.15
I1 0.0000 0.5000 0.5000  2 Ca 3.09
I2 0.3390 0.3390 0.0000  1 Ca 3.15
I3 0.6610 0.6610 0.0000  1 Ca 3.15
Br1 0.5000 0.0000 0.5000  2 Ca 2.88

---

No. 5
Below is a relaxed structure of LaNdTlZn, with properties calculated at the GGA-PBE level.

Properties
* ΔE_f: -360 meV per atom

a b c (Å): 3.8025 3.8025 7.8158
angles (deg): 90.00 90.00 90.00
Last column: nearest neighbours and their distance in Å.
Sites, in units of the cell vectors:
La1 0.0000 0.0000 0.0000  4 Zn 3.27, 4 Tl 3.47, 1 Nd 3.55
Nd1 0.0000 0.0000 0.5455  4 Zn 3.18, 4 Tl 3.39, 1 La 3.55
Tl1 0.5000 0.5000 0.2804  4 Nd 3.39, 4 La 3.47, 1 Zn 3.76
Zn1 0.5000 0.5000 0.7616  4 Nd 3.18, 4 La 3.27

---

No. 6
Below is a relaxed structure of Zn2CuTc, with properties calculated at the GGA-PBE level.

Properties
* ΔE_f: 99 meV per atom

a b c (Å): 2.6070 2.6070 8.3862
angles (deg): 90.00 90.00 103.27
Last column: nearest neighbours and their distance in Å.
Sites, in units of the cell vectors:
Zn1 0.0000 0.0000 0.0000  4 Cu 2.55-2.84, 6 Zn 2.61-2.71
Zn2 0.5000 0.5000 0.2599  6 Zn 2.61-2.71, 2 Tc 2.69
Cu1 0.5000 0.5000 0.7655  4 Zn 2.55-2.84, 4 Cu 2.61, 2 Tc 2.65
Tc1 0.0000 0.0000 0.5159  4 Tc 2.61, 2 Cu 2.65, 2 Zn 2.69